Entry 1:
Entry from Alexandria via LeMat-Bulk: an optimized crystal structure of La2TbZr (PBE-GGA). Values from VASP.

Values from the calculation:
Its space-group type is No. 123. As for the polymorph energy (0 for the lowest one): 0.0000 eV per atom.

```
&SYSTEM
  ibrav = 0, nat = 4, ntyp = 3
/
ATOMIC_SPECIES
La 138.91 La.upf
Tb 158.93 Tb.upf
Zr 91.22 Zr.upf
CELL_PARAMETERS angstrom
5.046 0.000 0.000
0.000 5.046 0.000
0.000 0.000 4.900
ATOMIC_POSITIONS crystal
La 0.000 0.500 0.000
La 0.500 0.000 0.000
Tb 0.000 0.000 0.500
Zr 0.500 0.500 0.500
```

Entry 2:
Entry from Alexandria via LeMat-Bulk: an optimized crystal structure of La2TbZr (PBE-GGA). Values from VASP.

Values from the calculation:
Its space-group type is No. 225. As for the polymorph energy (0 for the lowest one): 0.0617 eV per atom.

```
&SYSTEM
  ibrav = 0, nat = 4, ntyp = 3
/
ATOMIC_SPECIES
La 138.91 La.upf
Tb 158.93 Tb.upf
Zr 91.22 Zr.upf
CELL_PARAMETERS angstrom
0.000 3.961 3.961
3.961 0.000 3.961
3.961 3.961 0.000
ATOMIC_POSITIONS crystal
La 0.250 0.250 0.250
La 0.750 0.750 0.750
Tb 0.000 0.000 0.000
Zr 0.500 0.500 0.500
```

Entry 3:
Entry from Alexandria via LeMat-Bulk: an optimized crystal structure of La2TbZr (PBE-GGA). Values from VASP.

Values from the calculation:
Its space-group type is No. 123. As for the polymorph energy (0 for the lowest one): 0.0296 eV per atom.

```
&SYSTEM
  ibrav = 0, nat = 4, ntyp = 3
/
ATOMIC_SPECIES
La 138.91 La.upf
Tb 158.93 Tb.upf
Zr 91.22 Zr.upf
CELL_PARAMETERS angstrom
4.104 0.000 0.000
0.000 4.104 0.000
0.000 0.000 7.447
ATOMIC_POSITIONS crystal
La 0.000 0.000 0.226
La 0.000 0.000 0.774
Tb 0.500 0.500 0.500
Zr 0.500 0.500 0.000
```

Entry 4:
Entry from Alexandria via LeMat-Bulk: an optimized crystal structure of La2TbZr (PBE-GGA). Values from VASP.

Values from the calculation:
Its space-group type is No. 160. As for the polymorph energy (0 for the lowest one): 0.0092 eV per atom.

```
&SYSTEM
  ibrav = 0, nat = 4, ntyp = 3
/
ATOMIC_SPECIES
La 138.91 La.upf
Tb 158.93 Tb.upf
Zr 91.22 Zr.upf
CELL_PARAMETERS angstrom
1.766 1.020 11.570
-1.766 1.020 11.570
0.000 -2.040 11.570
ATOMIC_POSITIONS crystal
La 0.000 0.000 0.000
La 0.158 0.158 0.158
Tb 0.577 0.577 0.577
Zr 0.746 0.746 0.746
```

no.,ΔE_f (eV/atom),DOS at the Fermi energy (states/eV/f.u.),total moment (μB/atom)
1,0.1319,4.28,0.000
2,0.1936,6.96,0.001
3,0.1615,4.60,0.000
4,0.1411,6.42,0.000